No. 1
## HoTmZrZn (PBE)

Data for crystalline HoTmZrZn at its relaxed geometry.

Values from the calculation:
V, Å³ per cell: 97.4
SG: P4mm, No. 99
Formation energy, eV per formula unit: -0.574
Calculated total energy, eV for the cell shown: -19.44

Structure (POSCAR):
```
HoTmZrZn
1.0
3.398 0.000 0.000
0.000 3.398 0.000
0.000 0.000 8.434
Zr Zn Tm Ho
1 1 1 1
direct
0.000 0.000 0.074
0.000 0.000 0.568
0.500 0.500 0.344
0.500 0.500 0.799
```


No. 2
## SnPPtO (PBE)

Data for crystalline SnPPtO at its relaxed geometry.

Values from the calculation:
V, Å³ per cell: 74.6
SG: P1, No. 1
Calculated total energy, eV for the cell shown: -23.11

Structure (POSCAR):
```
SnPPtO
1.0
3.327 0.009 -0.003
1.125 4.177 0.008
0.552 0.992 5.374
Pt P O Sn
1 1 1 1
direct
0.033 0.041 0.385
0.569 0.079 0.086
0.693 0.748 0.993
0.640 0.547 0.658
```